ZnRh2W2: relaxed, GGA-PBE.

Lattice parameters (Å, degrees): 7.593 7.593 2.777 90.00 90.00 90.00
Space group P4/mbm (No. 127)
Symmetry-distinct sites (fractional):
Zn 0.000 0.000 0.000 [2 per cell]
Rh 0.127 0.373 0.000 [4 per cell]
W 0.168 0.668 0.500 [4 per cell]

- size of the total moment (Bohr magnetons per cell) = 0.00
- DFT formation energy (eV per atom) = 0.131


Zn4Rh5W: relaxed, GGA-PBE.

Lattice parameters (Å, degrees): 2.940 2.940 16.223 90.00 90.00 90.00
Space group P4/mmm (No. 123)
Symmetry-distinct sites (fractional):
Zn 0.000 0.000 0.097 [2 per cell]
Zn 0.000 0.000 0.290 [2 per cell]
Rh 0.500 0.500 0.000 [1 per cell]
Rh 0.500 0.500 0.194 [2 per cell]
Rh 0.500 0.500 0.392 [2 per cell]
W 0.000 0.000 0.500 [1 per cell]

- size of the total moment (Bohr magnetons per cell) = 0.00
- DFT formation energy (eV per atom) = -0.349


ZnRh2W: relaxed, GGA-PBE.

Lattice parameters (Å, degrees): 9.203 2.797 4.629 90.00 100.57 90.00
Space group Cm (No. 8)
Symmetry-distinct sites (fractional):
Zn 0.000 0.000 0.000 [2 per cell]
Rh 0.006 0.500 0.500 [2 per cell]
Rh 0.253 0.000 0.819 [2 per cell]
W 0.260 0.500 0.316 [2 per cell]

- size of the total moment (Bohr magnetons per cell) = 0.00
- DFT formation energy (eV per atom) = -0.156